A relaxed UBiMoO6 crystal, computed with GGA+U.

Results
final energy: -7.978 eV/atom
space-group type: P-31c (163)

Cell lengths 5.588, 5.588, 9.999 Å; angles 90.00, 90.00, 120.00 degrees
Fractional coordinates of all 18 atoms:
O: 0.993 0.348 0.138
O: 0.355 0.007 0.138
O: 0.993 0.645 0.362
O: 0.652 0.645 0.138
O: 0.007 0.355 0.638
O: 0.645 0.993 0.862
O: 0.652 0.007 0.362
O: 0.645 0.652 0.638
O: 0.348 0.355 0.862
O: 0.348 0.993 0.638
O: 0.355 0.348 0.362
O: 0.007 0.652 0.862
Mo: 0.667 0.333 0.750
Mo: 0.333 0.667 0.250
U: 0.667 0.333 0.250
U: 0.333 0.667 0.750
Bi: 0.000 0.000 0.000
Bi: 0.000 0.000 0.500